First-principles (PBE) data for a relaxed Nd11Cd9Pt4 crystal, as listed in the Alexandria database.

Cell and atoms, written as POSCAR:
```
Nd11Cd9Pt4
1.0
3.796 0.000 0.000
0.000 12.453 -5.274
0.000 0.044 13.524
Cd Nd Pt
9 11 4
Cartesian
1.898 2.670 -0.154 Cd
1.898 9.828 8.405 Cd
1.898 6.249 4.125 Cd
1.898 4.587 9.450 Cd
1.898 7.911 -1.200 Cd
1.898 10.492 0.505 Cd
1.898 0.907 2.516 Cd
1.898 11.591 5.735 Cd
1.898 2.006 7.745 Cd
0.000 3.816 2.519 Nd
0.000 11.561 3.037 Nd
0.000 10.432 -2.212 Nd
0.000 5.162 -1.187 Nd
0.000 8.681 5.731 Nd
0.000 7.335 9.437 Nd
0.000 0.937 5.214 Nd
0.000 7.834 1.724 Nd
0.000 2.066 10.462 Nd
0.000 0.000 0.000 Nd
0.000 4.664 6.526 Nd
1.898 3.122 4.761 Pt
1.898 5.605 0.999 Pt
1.898 6.893 7.251 Pt
1.898 9.376 3.489 Pt
```

Summary:
For the formation enthalpy at 0 K, the calculation gives -627.2 meV per atom. The total DFT energy (no corrections) comes out at -4.1624 eV per atom. The value obtained for the size of the total moment is 0.01 Bohr magnetons per cell.